(1)
CaWN2 | GGA-PBEsol | optimized geometry

The structure in extended XYZ format:
```
8
Lattice="-2.4530 2.4530 5.0521 2.4530 -2.4530 5.0521 2.4530 2.4530 -5.0521" Properties=species:S:1:pos:R:3 pbc="T T T"
Ca 0.0000 0.0000 0.0000
Ca 0.0000 2.4530 2.5261
W 2.4530 0.0000 2.5261
W 0.0000 0.0000 5.0521
N 1.2265 -0.7951 3.7891
N 1.6579 1.2265 1.2630
N 1.2265 3.2481 -1.2630
N 0.7951 1.2265 6.3151
```

Calculated values
**ΔE_f (raw)**: -694 meV per atom

=====

(2)
HoTlO2 | GGA-PBEsol | optimized geometry

The structure in extended XYZ format:
```
4
Lattice="1.7168 0.9912 6.3726 -1.7168 0.9912 6.3726 0.0000 -1.9823 6.3726" Properties=species:S:1:pos:R:3 pbc="T T T"
Ho 0.0000 0.0000 0.0000
Tl 0.0000 0.0000 9.5589
O 0.0000 0.0000 5.2713
O 0.0000 0.0000 13.8464
```

Calculated values
**ΔE_f (raw)**: -2407 meV per atom

=====

(3)
TlAg2Sb2 | GGA-PBEsol | optimized geometry

The structure in extended XYZ format:
```
5
Lattice="-2.3994 2.3994 5.5638 2.3994 -2.3994 5.5638 2.3994 2.3994 -5.5638" Properties=species:S:1:pos:R:3 pbc="T T T"
Tl 0.0000 0.0000 0.0000
Ag 0.0000 0.0000 4.2156
Ag 0.0000 0.0000 6.9119
Sb 2.3994 0.0000 2.7819
Sb 0.0000 2.3994 2.7819
```

Calculated values
**ΔE_f (raw)**: 179 meV per atom
**Energy above the most stable polymorph in this dataset**: 116 meV per atom

=====

(4)
SnIrSe2N | GGA-PBEsol | optimized geometry

The structure in extended XYZ format:
```
5
Lattice="4.2799 0.0000 0.0000 0.0000 4.2799 0.0000 0.0000 0.0000 4.4162" Properties=species:S:1:pos:R:3 pbc="T T T"
Sn 0.0000 0.0000 0.0000
Ir 2.1400 2.1400 0.0000
Se 0.0000 2.1400 2.2081
Se 2.1400 0.0000 2.2081
N 0.0000 0.0000 2.2081
```

Calculated values
**ΔE_f (raw)**: 892 meV per atom

=====

Computed values of total moment (unit: μB/f.u.) for the preceding records, in sequence: 0.000; 0.000; 0.000; 0.000.